# 1
DFT (PBE) results for a relaxed structure of KAl2Hg.

Lattice parameters (Å, degrees): 5.7897 5.7897 6.3019 71.99 71.99 35.79
Atoms (fractional coordinates):
1 K 0.2500 0.2500 0.2500
2 Hg 0.7500 0.7500 0.7500
3 Al 0.0440 0.0440 0.8732
4 Al 0.4560 0.4560 0.6268

Its formation energy is 0.2021 eV per atom.



# 2
DFT (PBE) results for a relaxed structure of Cs2MnTlBr6.

Lattice parameters (Å, degrees): 8.0456 8.0456 8.0503 60.02 60.02 90.00
Each line ends with the local moment (μB).
Atoms (fractional coordinates):
1 Cs 0.7500 0.2500 0.5000  0.00
2 Cs 0.2500 0.7500 0.5000  0.00
3 Tl 0.0000 0.0000 0.0000  -0.06
4 Mn 0.5000 0.5000 0.0000  3.87
5 Br 0.2730 0.2730 0.4541  -0.02
6 Br 0.7270 0.7270 0.5459  -0.02
7 Br 0.2730 0.2730 0.0000  -0.01
8 Br 0.7270 0.7270 0.0000  -0.01
9 Br 0.7270 0.2730 0.0000  -0.01
10 Br 0.2730 0.7270 0.0000  -0.01

For the polymorph energy (0 for the lowest one), the calculation gives 0 meV/atom. As for the formation energy without anion corrections: -1186 meV/atom.



# 3
DFT (PBE) results for a relaxed structure of AcPaIrAu.

Lattice parameters (Å, degrees): 5.1803 5.1803 5.1803 60.00 60.00 60.00
Each line ends with the local moment (μB).
Atoms (fractional coordinates):
1 Ac 0.2500 0.2500 0.2500  0.04
2 Pa 0.7500 0.7500 0.7500  0.63
3 Au 0.0000 0.0000 0.0000  -0.01
4 Ir 0.5000 0.5000 0.5000  -0.07

Its formation energy is -0.3497 eV per atom.



# 4
DFT (PBE) results for a relaxed structure of BaMoCl2.

Lattice parameters (Å, degrees): 4.3383 4.3383 6.4008 90.00 90.00 90.00
Each line ends with the local moment (μB).
Atoms (fractional coordinates):
1 Mo 0.0000 0.0000 0.4252  3.98
2 Ba 0.5000 0.5000 0.7949  0.14
3 Cl 0.0000 0.0000 0.9802  0.07
4 Cl 0.5000 0.5000 0.2997  0.11

For the polymorph energy (0 for the lowest one), the calculation gives 183 meV/atom. As for the formation energy without anion corrections: -353 meV/atom.



# 5
DFT (PBE) results for a relaxed structure of AgAsPt2.

Lattice parameters (Å, degrees): 5.1048 5.1048 5.1048 139.07 128.85 67.50
Atoms (fractional coordinates):
1 As 0.2500 0.7500 0.5000
2 Ag 0.7500 0.2500 0.5000
3 Pt 0.0310 0.0310 0.0000
4 Pt 0.4690 0.4690 0.0000

Its formation energy is -0.0149 eV per atom.



# 6
DFT (PBE) results for a relaxed structure of LaCe3Dy2S6.

Lattice parameters (Å, degrees): 6.9381 6.9381 6.9652 99.59 99.59 120.03
Each line ends with the local moment (μB).
Atoms (fractional coordinates):
1 La 0.0000 0.0000 0.0000  0.01
2 Ce 0.1628 0.8372 0.5000  0.70
3 Ce 0.8372 0.1628 0.5000  0.70
4 Ce 0.5000 0.5000 0.5000  0.70
5 Dy 0.3330 0.6670 0.0000  0.00
6 Dy 0.6670 0.3330 0.0000  0.00
7 S 0.9180 0.5735 0.7542  -0.01
8 S 0.7359 0.7359 0.2415  -0.01
9 S 0.0820 0.4265 0.2458  -0.01
10 S 0.5735 0.9180 0.7542  -0.01
11 S 0.2641 0.2641 0.7585  -0.01
12 S 0.4265 0.0820 0.2458  -0.01

As for the formation energy without anion corrections: -2045 meV/atom.



# 7
DFT (PBE) results for a relaxed structure of Na2ScUS6.

Lattice parameters (Å, degrees): 6.7921 7.1577 9.7460 90.00 89.00 90.00
Atoms (fractional coordinates):
1 Na 0.0237 0.9334 0.2539
2 Na 0.5237 0.5666 0.7539
3 Na 0.9763 0.0666 0.7461
4 Na 0.4763 0.4334 0.2461
5 Sc 0.5000 0.0000 0.0000
6 Sc 0.0000 0.5000 0.5000
7 U 0.5000 0.0000 0.5000
8 U 0.0000 0.5000 0.0000
9 S 0.2935 0.7065 0.0520
10 S 0.7935 0.7935 0.5520
11 S 0.7065 0.2935 0.9480
12 S 0.2065 0.2065 0.4480
13 S 0.2978 0.7090 0.4466
14 S 0.7978 0.7910 0.9466
15 S 0.7022 0.2910 0.5534
16 S 0.2022 0.2090 0.0534
17 S 0.8955 0.5258 0.2499
18 S 0.3955 0.9742 0.7499
19 S 0.1045 0.4742 0.7501
20 S 0.6045 0.0258 0.2501

As for the formation energy without anion corrections: -1180 meV/atom.



# 8
DFT (PBE) results for a relaxed structure of YRe2Mo.

Lattice parameters (Å, degrees): 5.3974 5.3704 2.8200 79.99 79.93 116.88
Atoms (fractional coordinates):
1 Mo 0.5000 0.0000 0.5000
2 Re 0.0000 0.0000 0.0000
3 Re 0.0000 0.5000 0.5000
4 Y 0.5000 0.5000 0.0000

For the polymorph energy (0 for the lowest one), the calculation gives 187 meV/atom. Its formation energy is 0.3662 eV per atom.